First-principles (PBE) data for crystalline BeTc3Au at its relaxed geometry, as listed in Alexandria via LeMat-Bulk.

Properties
* E_tot: -5.00 eV per atom
* space group: Pm-3m (221)
* energy of formation: 2.62 eV/atom
* calculated volume: 24.2 Å³ per atom

abc: 4.944 4.944 4.944
angles: 90.00 90.00 90.00
Last column: magnetic moment on the atom in μB.
Element x y z (fractional)
Au (0.000, 0.000, 0.000)  0.28
Tc (0.500, 0.000, 0.000)  2.14
Tc (0.000, 0.000, 0.500)  2.98
Tc (0.000, 0.500, 0.000)  2.60
Be (0.500, 0.500, 0.500)  -0.09

---

First-principles (PBE) data for crystalline Be17TcAu at its relaxed geometry, as listed in Alexandria via LeMat-Bulk.

Properties
* E_tot: -4.15 eV per atom
* space group: R3m (160)
* energy of formation: -0.10 eV/atom
* calculated volume: 8.8 Å³ per atom

abc: 5.552 5.552 5.552
angles: 82.04 82.04 82.04
Element x y z (fractional)
Be (0.652, 0.652, 0.167)
Be (0.308, 0.003, 0.695)
Be (0.003, 0.695, 0.308)
Be (0.903, 0.903, 0.903)
Be (0.342, 0.342, 0.849)
Be (0.342, 0.849, 0.342)
Be (0.013, 0.496, 0.013)
Be (0.695, 0.308, 0.003)
Be (0.167, 0.652, 0.652)
Be (0.849, 0.342, 0.342)
Be (0.103, 0.103, 0.103)
Be (0.695, 0.003, 0.308)
Be (0.003, 0.308, 0.695)
Be (0.013, 0.013, 0.496)
Be (0.308, 0.695, 0.003)
Be (0.652, 0.167, 0.652)
Be (0.496, 0.013, 0.013)
Au (0.629, 0.629, 0.629)
Tc (0.327, 0.327, 0.327)

---

First-principles (PBE) data for crystalline BeTc2Au at its relaxed geometry, as listed in Alexandria via LeMat-Bulk.

Properties
* E_tot: -6.94 eV per atom
* space group: P4mm (99)
* energy of formation: -0.01 eV/atom
* calculated volume: 14.0 Å³ per atom

abc: 2.894 2.894 6.664
angles: 90.00 90.00 90.00
Element x y z (fractional)
Be (0.500, 0.500, 0.766)
Tc (0.000, 0.000, 0.980)
Tc (0.500, 0.500, 0.213)
Au (0.000, 0.000, 0.541)

---

First-principles (PBE) data for crystalline BeTcAu4 at its relaxed geometry, as listed in Alexandria via LeMat-Bulk.

Properties
* E_tot: -3.80 eV per atom
* space group: F-43m (216)
* energy of formation: 0.73 eV/atom
* calculated volume: 18.7 Å³ per atom

abc: 5.411 5.411 5.411
angles: 60.00 60.00 60.00
Last column: magnetic moment on the atom in μB.
Element x y z (fractional)
Au (0.375, 0.875, 0.375)  0.03
Au (0.375, 0.375, 0.875)  0.03
Au (0.875, 0.375, 0.375)  0.03
Au (0.375, 0.375, 0.375)  0.03
Tc (0.000, 0.000, 0.000)  3.06
Be (0.750, 0.750, 0.750)  -0.08

---

First-principles (PBE) data for crystalline BeTc4Au at its relaxed geometry, as listed in Alexandria via LeMat-Bulk.

Properties
* E_tot: -7.46 eV per atom
* space group: F-43m (216)
* energy of formation: 0.62 eV/atom
* calculated volume: 15.7 Å³ per atom

abc: 5.105 5.105 5.105
angles: 60.00 60.00 60.00
Element x y z (fractional)
Tc (0.375, 0.375, 0.875)
Tc (0.375, 0.875, 0.375)
Tc (0.875, 0.375, 0.375)
Tc (0.375, 0.375, 0.375)
Au (0.750, 0.750, 0.750)
Be (0.000, 0.000, 0.000)

---

First-principles (PBE) data for crystalline BeTc2Au at its relaxed geometry, as listed in Alexandria via LeMat-Bulk.

Properties
* E_tot: -6.60 eV per atom
* space group: F-43m (216)
* energy of formation: 0.33 eV/atom
* calculated volume: 14.3 Å³ per atom

abc: 4.328 4.328 4.328
angles: 60.00 60.00 60.00
Element x y z (fractional)
Be (0.250, 0.250, 0.250)
Tc (0.000, 0.000, 0.000)
Tc (0.750, 0.750, 0.750)
Au (0.500, 0.500, 0.500)

---

First-principles (PBE) data for crystalline BeTc2Au at its relaxed geometry, as listed in Alexandria via LeMat-Bulk.

Properties
* E_tot: -6.78 eV per atom
* space group: Immm (71)
* energy of formation: 0.16 eV/atom
* calculated volume: 13.9 Å³ per atom

abc: 5.375 5.375 4.248
angles: 66.68 66.68 29.85
Element x y z (fractional)
Tc (0.540, 0.540, 0.460)
Tc (0.960, 0.960, 0.040)
Be (0.250, 0.250, 0.250)
Au (0.750, 0.750, 0.750)

---

First-principles (PBE) data for crystalline BeTcAu3 at its relaxed geometry, as listed in Alexandria via LeMat-Bulk.

Properties
* E_tot: -3.20 eV per atom
* space group: Pm-3m (221)
* energy of formation: 1.58 eV/atom
* calculated volume: 25.9 Å³ per atom

abc: 5.062 5.062 5.062
angles: 90.00 90.00 90.00
Last column: magnetic moment on the atom in μB.
Element x y z (fractional)
Au (0.500, 0.000, 0.000)  0.07
Au (0.000, 0.500, 0.000)  0.12
Au (0.000, 0.000, 0.500)  0.22
Be (0.500, 0.500, 0.500)  0.12
Tc (0.000, 0.000, 0.000)  1.83

---

First-principles (PBE) data for crystalline BeTc3Au at its relaxed geometry, as listed in Alexandria via LeMat-Bulk.

Properties
* E_tot: -6.98 eV per atom
* space group: Pm-3m (221)
* energy of formation: 0.64 eV/atom
* calculated volume: 14.4 Å³ per atom

abc: 4.157 4.157 4.157
angles: 90.00 90.00 90.00
Element x y z (fractional)
Be (0.000, 0.000, 0.000)
Tc (0.500, 0.000, 0.000)
Tc (0.000, 0.500, 0.000)
Tc (0.000, 0.000, 0.500)
Au (0.500, 0.500, 0.500)

---

First-principles (PBE) data for crystalline BeTc2Au at its relaxed geometry, as listed in Alexandria via LeMat-Bulk.

Properties
* E_tot: -6.79 eV per atom
* space group: P4/mmm (123)
* energy of formation: 0.14 eV/atom
* calculated volume: 13.7 Å³ per atom

abc: 2.865 2.865 6.678
angles: 90.00 90.00 90.02
Element x y z (fractional)
Be (0.500, 0.500, 0.750)
Au (0.500, 0.500, 0.250)
Tc (0.000, 0.000, 0.942)
Tc (0.000, 0.000, 0.558)

---

First-principles (PBE) data for crystalline Be3TcAu at its relaxed geometry, as listed in Alexandria via LeMat-Bulk.

Properties
* E_tot: -4.06 eV per atom
* space group: Pm-3m (221)
* energy of formation: 0.91 eV/atom
* calculated volume: 14.8 Å³ per atom

abc: 4.195 4.195 4.195
angles: 90.00 90.00 90.00
Last column: magnetic moment on the atom in μB.
Element x y z (fractional)
Tc (0.500, 0.500, 0.500)  1.89
Be (0.000, 0.000, 0.500)  -0.04
Be (0.500, 0.000, 0.000)  -0.02
Be (0.000, 0.500, 0.000)  -0.02
Au (0.000, 0.000, 0.000)  -0.01

---

First-principles (PBE) data for crystalline Be9TcAu2 at its relaxed geometry, as listed in Alexandria via LeMat-Bulk.

Properties
* E_tot: -4.37 eV per atom
* space group: P6_3/mmc (194)
* energy of formation: -0.16 eV/atom
* calculated volume: 9.9 Å³ per atom

abc: 4.379 4.379 14.301
angles: 90.00 90.00 120.00
Element x y z (fractional)
Be (0.834, 0.166, 0.633)
Be (0.166, 0.834, 0.133)
Be (0.669, 0.834, 0.133)
Be (0.834, 0.669, 0.867)
Be (0.669, 0.834, 0.367)
Be (0.667, 0.333, 0.750)
Be (0.834, 0.669, 0.633)
Be (0.166, 0.331, 0.133)
Be (0.000, 0.000, 0.250)
Be (0.166, 0.331, 0.367)
Be (0.333, 0.667, 0.250)
Be (0.000, 0.000, 0.000)
Be (0.834, 0.166, 0.867)
Be (0.331, 0.166, 0.633)
Be (0.000, 0.000, 0.750)
Be (0.166, 0.834, 0.367)
Be (0.331, 0.166, 0.867)
Be (0.000, 0.000, 0.500)
Au (0.333, 0.667, 0.545)
Au (0.333, 0.667, 0.955)
Au (0.667, 0.333, 0.045)
Au (0.667, 0.333, 0.455)
Tc (0.333, 0.667, 0.750)
Tc (0.667, 0.333, 0.250)

---

First-principles (PBE) data for crystalline BeTc2Au at its relaxed geometry, as listed in Alexandria via LeMat-Bulk.

Properties
* E_tot: -6.70 eV per atom
* space group: P2/m (10)
* energy of formation: 0.24 eV/atom
* calculated volume: 14.4 Å³ per atom

abc: 3.962 2.847 5.821
angles: 61.02 90.00 90.00
Element x y z (fractional)
Be (0.500, 0.750, 0.750)
Au (0.500, 0.250, 0.250)
Tc (0.000, 0.475, 0.530)
Tc (0.000, 0.025, 0.970)

---

First-principles (PBE) data for crystalline BeVTc2Au at its relaxed geometry, as listed in Alexandria via LeMat-Bulk.

Properties
* E_tot: -5.93 eV per atom
* space group: P4/mmm (123)
* energy of formation: 1.44 eV/atom
* calculated volume: 18.8 Å³ per atom

abc: 4.413 4.836 4.413
angles: 90.00 90.00 90.00
Last column: magnetic moment on the atom in μB.
Element x y z (fractional)
V (0.000, 0.000, 0.000)  -0.32
Tc (0.000, 0.000, 0.500)  0.88
Tc (0.500, 0.000, 0.000)  0.91
Be (0.500, 0.500, 0.500)  -0.04
Au (0.000, 0.500, 0.000)  0.01